! Rb3CaAg2F9 (PBE, optimized geometry); values from VASP
&SYSTEM
  ibrav = 0, nat = 15, ntyp = 4
/
ATOMIC_SPECIES
F 19.00 F.upf
Ag 107.87 Ag.upf
Rb 85.47 Rb.upf
Ca 40.08 Ca.upf
ATOMIC_POSITIONS angstrom
F -1.579 2.735 0.000
F 4.743 0.908 5.182
F 1.572 0.908 5.182
F -1.586 4.562 2.558
F 1.586 4.562 2.558
F 3.158 3.654 5.182
F 1.579 2.735 0.000
F 0.000 1.816 2.558
F 3.158 0.000 0.000
Ag 0.000 3.646 1.261
Ag 3.158 1.823 6.478
Rb 3.158 1.823 2.564
Rb 0.000 3.646 5.175
Rb 0.000 0.000 0.000
Ca 0.000 0.000 3.870
CELL_PARAMETERS angstrom
6.316 0.000 0.000
-3.158 5.470 0.000
0.000 0.000 7.739
! ΔE_f (raw) = -2375.5 meV per atom

! Rb2CaAgF6 (PBE, optimized geometry); values from VASP
&SYSTEM
  ibrav = 0, nat = 10, ntyp = 4
/
ATOMIC_SPECIES
F 19.00 F.upf
Ca 40.08 Ca.upf
Rb 85.47 Rb.upf
Ag 107.87 Ag.upf
ATOMIC_POSITIONS angstrom
F 2.239 0.000 4.486
F 2.239 2.239 2.264
F 2.239 2.239 6.708
F 0.000 2.239 4.486
F 0.000 2.239 0.000
F 2.239 0.000 0.000
Ca 2.239 2.239 0.000
Rb 0.000 0.000 6.657
Rb 0.000 0.000 2.315
Ag 2.239 2.239 4.486
CELL_PARAMETERS angstrom
4.478 0.000 0.000
0.000 4.478 0.000
0.000 0.000 8.972
! ΔE_f (raw) = -2653.1 meV per atom
! Energy above the most stable polymorph in this dataset = 0.000 eV/atom

! Rb2CaAgF6 (PBE, optimized geometry); values from VASP
&SYSTEM
  ibrav = 0, nat = 10, ntyp = 4
/
ATOMIC_SPECIES
F 19.00 F.upf
Rb 85.47 Rb.upf
Ca 40.08 Ca.upf
Ag 107.87 Ag.upf
ATOMIC_POSITIONS angstrom
F 0.619 1.616 4.796
F 0.441 0.949 9.314
F -0.184 -0.758 6.755
F 1.985 -1.243 4.512
F -0.063 -0.260 2.320
F -2.232 0.224 4.562
Rb -1.627 2.033 7.081
Rb 2.687 0.532 7.029
Ca -0.123 -0.509 4.537
Ag 0.000 0.000 0.000
CELL_PARAMETERS angstrom
-4.437 0.991 4.588
4.190 -2.009 4.486
1.306 3.584 5.036
! ΔE_f (raw) = -2618.7 meV per atom
! Energy above the most stable polymorph in this dataset = 0.034 eV/atom

! RbCaAg2F8 (PBE, optimized geometry); values from VASP
&SYSTEM
  ibrav = 0, nat = 12, ntyp = 4
/
ATOMIC_SPECIES
F 19.00 F.upf
Ag 107.87 Ag.upf
Rb 85.47 Rb.upf
Ca 40.08 Ca.upf
ATOMIC_POSITIONS angstrom
F -4.558 -2.619 0.245
F 0.062 2.944 -3.360
F -1.228 1.209 -5.638
F -1.472 -1.384 -1.590
F -1.075 -0.572 -4.229
F -3.855 -0.691 -3.515
F -2.563 -0.203 0.021
F 2.012 -0.585 -4.806
Ag -0.681 -2.200 -3.197
Ag 1.103 1.205 -4.057
Rb -2.488 1.725 -2.521
Ca 0.000 0.000 0.000
CELL_PARAMETERS angstrom
-0.704 5.131 -3.382
2.910 -2.720 -4.733
-5.375 -2.886 2.397
! ΔE_f (raw) = -2058.7 meV per atom

! RbCa3Ag4F12 (PBE, optimized geometry); values from VASP
&SYSTEM
  ibrav = 0, nat = 20, ntyp = 4
/
ATOMIC_SPECIES
F 19.00 F.upf
Ag 107.87 Ag.upf
Ca 40.08 Ca.upf
Rb 85.47 Rb.upf
ATOMIC_POSITIONS angstrom
F -1.986 2.099 -0.429
F -1.474 4.390 1.430
F -1.111 5.777 4.059
F -6.038 0.014 2.799
F 1.917 1.587 6.172
F -0.147 2.223 4.304
F -1.566 -0.597 2.392
F 1.310 1.982 1.699
F -3.622 1.535 2.831
F -1.122 6.547 -0.407
F -2.468 2.730 6.127
F -4.666 4.306 3.282
Ag -2.363 -1.056 6.066
Ag -5.355 3.827 -0.411
Ag 2.476 5.376 2.910
Ag -1.748 2.716 2.855
Ca -1.619 4.349 -0.790
Ca 1.987 1.747 3.894
Ca -3.864 -0.665 2.606
Rb 0.000 0.000 0.000
CELL_PARAMETERS angstrom
-7.702 0.518 -0.868
1.332 -2.266 7.310
2.874 7.179 -0.732
! ΔE_f (raw) = -2443.1 meV per atom

! RbCa4Ag3F12 (PBE, optimized geometry); values from VASP
&SYSTEM
  ibrav = 0, nat = 20, ntyp = 4
/
ATOMIC_SPECIES
F 19.00 F.upf
Rb 85.47 Rb.upf
Ca 40.08 Ca.upf
Ag 107.87 Ag.upf
ATOMIC_POSITIONS angstrom
F 4.431 -1.073 2.961
F -1.980 3.247 3.884
F -1.654 -2.115 4.727
F 2.477 2.551 5.263
F -2.599 -4.300 2.076
F 1.532 0.367 2.612
F 1.536 -2.047 4.796
F -0.130 0.607 5.400
F 1.858 -4.996 3.455
F 0.008 -2.355 1.938
F -1.658 0.299 2.543
F -4.552 -0.675 4.377
Rb 0.000 0.000 0.000
Ca 3.478 0.317 1.426
Ca -0.061 -0.874 3.669
Ca -1.216 -3.545 0.428
Ca -2.323 2.354 1.815
Ag -3.539 -1.191 2.243
Ag 2.262 -3.228 1.854
Ag 1.155 2.671 3.241
CELL_PARAMETERS angstrom
-4.645 4.708 3.630
-2.433 -7.091 0.856
6.956 0.634 2.852
! ΔE_f (raw) = -2905.9 meV per atom

! CaAgRhF2 (PBE, optimized geometry); values from VASP
&SYSTEM
  ibrav = 0, nat = 5, ntyp = 4
/
ATOMIC_SPECIES
F 19.00 F.upf
Rh 102.91 Rh.upf
Ca 40.08 Ca.upf
Ag 107.87 Ag.upf
ATOMIC_POSITIONS angstrom
F 1.496 -0.809 1.240
F -0.377 1.496 1.431
Rh -1.024 -1.167 4.045
Ca -2.142 -1.854 1.373
Ag 0.000 0.000 0.000
CELL_PARAMETERS angstrom
-0.754 2.992 2.863
-4.284 -3.708 2.746
2.991 -1.619 2.480
! ΔE_f (raw) = -418.6 meV per atom

! CaAg2RhF8 (PBE, optimized geometry); values from VASP
&SYSTEM
  ibrav = 0, nat = 12, ntyp = 4
/
ATOMIC_SPECIES
F 19.00 F.upf
Ag 107.87 Ag.upf
Rh 102.91 Rh.upf
Ca 40.08 Ca.upf
ATOMIC_POSITIONS angstrom
F 2.104 -3.511 -0.530
F 5.723 -3.794 -1.568
F 3.351 -1.075 -3.131
F 0.014 -0.980 -1.726
F 5.061 -6.775 -1.925
F 2.971 -4.245 -3.122
F -0.649 -3.961 -2.083
F 1.724 -6.680 -0.520
Ag 1.459 -2.641 -2.536
Ag 3.616 -5.114 -1.115
Rh 0.000 0.000 0.000
Ca 2.103 -2.411 1.386
CELL_PARAMETERS angstrom
-2.609 -3.552 -2.220
3.478 0.618 -4.203
4.206 -4.821 2.771
! ΔE_f (raw) = -1958.3 meV per atom

! CaAg2RuF8 (PBE, optimized geometry); values from VASP
&SYSTEM
  ibrav = 0, nat = 12, ntyp = 4
/
ATOMIC_SPECIES
F 19.00 F.upf
Ag 107.87 Ag.upf
Ru 101.07 Ru.upf
Ca 40.08 Ca.upf
ATOMIC_POSITIONS angstrom
F 4.280 0.974 5.467
F 0.719 4.516 5.465
F 1.634 1.460 3.482
F 3.512 4.245 -0.007
F 1.481 1.232 -0.002
F 0.717 4.511 1.493
F 3.364 4.025 3.478
F 4.278 0.969 1.495
Ag 2.499 2.745 5.248
Ag 2.498 2.741 1.713
Ru 0.000 0.000 0.000
Ca 0.002 0.004 3.485
CELL_PARAMETERS angstrom
5.089 -0.075 -0.003
-0.095 5.552 -0.006
0.004 0.008 6.969
! ΔE_f (raw) = -2015.9 meV per atom

! CaAgSF (PBE, optimized geometry); values from VASP
&SYSTEM
  ibrav = 0, nat = 8, ntyp = 4
/
ATOMIC_SPECIES
F 19.00 F.upf
Ca 40.08 Ca.upf
S 32.06 S.upf
Ag 107.87 Ag.upf
ATOMIC_POSITIONS angstrom
F -2.620 4.407 1.264
F 0.170 4.360 0.990
Ca -1.146 2.792 2.197
Ca -1.303 5.975 0.057
S -0.996 6.634 3.070
S -1.453 2.133 -0.815
Ag -2.790 0.047 0.274
Ag 0.000 0.000 0.000
CELL_PARAMETERS angstrom
-3.047 0.675 -2.446
-2.533 -0.581 2.994
0.340 8.720 1.981
! ΔE_f (raw) = -1978.1 meV per atom

! CaAgSeF (PBE, optimized geometry); values from VASP
&SYSTEM
  ibrav = 0, nat = 8, ntyp = 4
/
ATOMIC_SPECIES
Se 78.96 Se.upf
Ag 107.87 Ag.upf
F 19.00 F.upf
Ca 40.08 Ca.upf
ATOMIC_POSITIONS angstrom
Se 1.982 -4.051 5.182
Se 0.385 -3.268 0.708
Ag 2.391 -2.959 2.636
Ag -0.024 -4.360 3.253
F 0.000 0.000 0.000
F -2.415 -1.401 0.617
Ca -0.743 -0.678 2.177
Ca 3.110 -6.642 3.713
CELL_PARAMETERS angstrom
-2.819 0.293 2.885
-2.011 -3.096 -1.651
4.782 -5.918 5.273
! ΔE_f (raw) = -1980.5 meV per atom

! CaSiAg2F8 (PBE, optimized geometry); values from VASP
&SYSTEM
  ibrav = 0, nat = 12, ntyp = 4
/
ATOMIC_SPECIES
Si 28.09 Si.upf
F 19.00 F.upf
Ag 107.87 Ag.upf
Ca 40.08 Ca.upf
ATOMIC_POSITIONS angstrom
Si 0.000 0.000 0.000
F -0.576 -0.413 1.543
F 0.299 5.016 5.171
F -1.445 2.224 5.560
F -4.533 3.784 3.506
F 1.507 1.088 4.570
F -2.449 5.284 6.534
F -1.580 2.647 2.516
F -3.324 -0.144 2.905
Ag -0.988 0.729 3.777
Ag -2.038 4.143 4.299
Ca -0.968 3.147 0.481
CELL_PARAMETERS angstrom
-4.028 -1.582 2.242
2.939 0.160 4.872
-1.936 6.294 0.962
! ΔE_f (raw) = -2592.8 meV per atom

> Among the records above, which one has the lowest ΔE_f (raw)?

RbCa4Ag3F12

Please write out number 8 again, unchanged.
! CaAg2RhF8 (PBE, optimized geometry); values from VASP
&SYSTEM
  ibrav = 0, nat = 12, ntyp = 4
/
ATOMIC_SPECIES
F 19.00 F.upf
Ag 107.87 Ag.upf
Rh 102.91 Rh.upf
Ca 40.08 Ca.upf
ATOMIC_POSITIONS angstrom
F 2.104 -3.511 -0.530
F 5.723 -3.794 -1.568
F 3.351 -1.075 -3.131
F 0.014 -0.980 -1.726
F 5.061 -6.775 -1.925
F 2.971 -4.245 -3.122
F -0.649 -3.961 -2.083
F 1.724 -6.680 -0.520
Ag 1.459 -2.641 -2.536
Ag 3.616 -5.114 -1.115
Rh 0.000 0.000 0.000
Ca 2.103 -2.411 1.386
CELL_PARAMETERS angstrom
-2.609 -3.552 -2.220
3.478 0.618 -4.203
4.206 -4.821 2.771
! ΔE_f (raw) = -1958.3 meV per atom

Copy entry 5 word for word.
! RbCa3Ag4F12 (PBE, optimized geometry); values from VASP
&SYSTEM
  ibrav = 0, nat = 20, ntyp = 4
/
ATOMIC_SPECIES
F 19.00 F.upf
Ag 107.87 Ag.upf
Ca 40.08 Ca.upf
Rb 85.47 Rb.upf
ATOMIC_POSITIONS angstrom
F -1.986 2.099 -0.429
F -1.474 4.390 1.430
F -1.111 5.777 4.059
F -6.038 0.014 2.799
F 1.917 1.587 6.172
F -0.147 2.223 4.304
F -1.566 -0.597 2.392
F 1.310 1.982 1.699
F -3.622 1.535 2.831
F -1.122 6.547 -0.407
F -2.468 2.730 6.127
F -4.666 4.306 3.282
Ag -2.363 -1.056 6.066
Ag -5.355 3.827 -0.411
Ag 2.476 5.376 2.910
Ag -1.748 2.716 2.855
Ca -1.619 4.349 -0.790
Ca 1.987 1.747 3.894
Ca -3.864 -0.665 2.606
Rb 0.000 0.000 0.000
CELL_PARAMETERS angstrom
-7.702 0.518 -0.868
1.332 -2.266 7.310
2.874 7.179 -0.732
! ΔE_f (raw) = -2443.1 meV per atom

> Number 10 is which compound?

CaAgSF